Compound: TlTc2Pb
Source: Alexandria
Functional: GGA-PBEsol
Structure: optimized geometry

The space group is C2/m (No. 12) and the conventional cell measures 6.087, 8.961 and 3.059 Å, with angles of 90.00, 117.17 and 90.00 degrees. The asymmetric unit holds Tl at (0.000, 0.000, 0.000), Tc at (0.250, 0.250, 0.500) and Pb at (0.000, 0.500, 0.000).

The calculation puts the density of states at the Fermi level at 10.043 states/eV per cell. The formation energy is 915 meV/atom. For the total energy, the calculation gives -51.006 eV for the cell shown.